Below is crystalline KTcAgTeS2 at its relaxed geometry, with properties calculated at the PBE level.

Unit cell a=8.1646 b=8.1646 c=10.3559 alpha=90.00 beta=90.00 gamma=154.25
Positions (direct):
K 0.7695 0.2305 0.2500
S 0.3948 0.6052 0.4710
S 0.6052 0.3948 0.5290
S 0.3948 0.6052 0.0290
Ag 0.5543 0.4457 0.7500
Tc 0.0000 0.0000 0.0000
Te 0.0804 0.9196 0.2500
Te 0.9196 0.0804 0.7500
Tc 0.0000 0.0000 0.5000
K 0.2305 0.7695 0.7500
Ag 0.4457 0.5543 0.2500
S 0.6052 0.3948 0.9710

Computed properties:
Total energy in eV/f.u.: -27.52